# 1
# PBE TmPuCu2Si2, optimized geometry
data_TmPuCu2Si2
_symmetry_space_group_name_H-M 'P -3 m 1'
_symmetry_Int_Tables_number 164
_symmetry_space_group_name_Hall '-P 3 2"'
_cell_length_a 4.1287
_cell_length_b 4.1287
_cell_length_c 7.4971
_cell_angle_alpha 90.00
_cell_angle_beta 90.00
_cell_angle_gamma 120.00
loop_
_atom_site_label
_atom_site_fract_x
_atom_site_fract_y
_atom_site_fract_z
_atom_site_occupancy
Tm1 0.0000 0.0000 0.0000 1
Pu1 0.0000 0.0000 0.5000 1
Cu1 0.3333 0.6667 0.2351 1
Si1 0.3333 0.6667 0.7519 1
# crystal system: trigonal
# E: -6.80 eV per atom
# E_form (uncorrected): -498 meV/atom
# mass density: 8.94 Mg/m³

# 2
# PBE YPuCu2Si2, optimized geometry
data_YPuCu2Si2
_symmetry_space_group_name_H-M 'P -3 m 1'
_symmetry_Int_Tables_number 164
_symmetry_space_group_name_Hall '-P 3 2"'
_cell_length_a 4.1328
_cell_length_b 4.1328
_cell_length_c 7.6568
_cell_angle_alpha 90.00
_cell_angle_beta 90.00
_cell_angle_gamma 120.00
loop_
_atom_site_label
_atom_site_fract_x
_atom_site_fract_y
_atom_site_fract_z
_atom_site_occupancy
Y1 0.0000 0.0000 0.0000 1
Pu1 0.0000 0.0000 0.5000 1
Cu1 0.3333 0.6667 0.2444 1
Si1 0.3333 0.6667 0.7486 1
# crystal system: trigonal
# E: -7.14 eV per atom
# E_form (uncorrected): -501 meV/atom
# mass density: 7.57 Mg/m³

# 3
# PBE SmPu3Cu8, optimized geometry
data_SmPu3Cu8
_symmetry_space_group_name_H-M 'P 3 m 1'
_symmetry_Int_Tables_number 156
_cell_length_a 5.2548
_cell_length_b 5.2548
_cell_length_c 8.5502
_cell_angle_alpha 90.00
_cell_angle_beta 90.00
_cell_angle_gamma 120.00
loop_
_symmetry_equiv_pos_as_xyz
'x,y,z'
'-y,x-y,z'
'-x+y,-x,z'
'-y,-x,z'
'-x+y,y,z'
'x,x-y,z'
loop_
_atom_site_label
_atom_site_fract_x
_atom_site_fract_y
_atom_site_fract_z
_atom_site_occupancy
Sm1 0.0000 0.0000 0.0000 1
Pu1 0.0000 0.0000 0.3929 1
Pu2 0.6667 0.3333 0.4953 1
Pu3 0.6667 0.3333 0.8754 1
Cu1 0.0028 0.5014 0.1908 1
Cu2 0.1692 0.3384 0.6920 1
Cu3 0.3333 0.6667 0.4413 1
Cu4 0.3333 0.6667 0.9415 1
# crystal system: trigonal
# E: -6.77 eV per atom
# mass density: 11.29 Mg/m³
# energy of formation: -0.07 eV per atom

# 4
# PBE SmPuCuSn, optimized geometry
data_SmPuCuSn
_symmetry_space_group_name_H-M 'F -4 3 m'
_symmetry_Int_Tables_number 216
_symmetry_space_group_name_Hall 'F -4 2 3'
_cell_length_a 7.397
_cell_length_b 7.397
_cell_length_c 7.397
_cell_angle_alpha 90.00
_cell_angle_beta 90.00
_cell_angle_gamma 90.00
loop_
_atom_site_label
_atom_site_fract_x
_atom_site_fract_y
_atom_site_fract_z
_atom_site_occupancy
Sm1 0.000 0.000 0.000 1
Pu1 0.000 0.000 0.500 1
Cu1 0.250 0.250 0.250 1
Sn1 0.250 0.250 0.750 1
# crystal system: cubic
# E: -7.02 eV per atom
# mass density: 9.46 Mg/m³
# energy of formation: -0.24 eV per atom

# 5
# PBE SmPuCuTc, optimized geometry
data_SmPuCuTc
_symmetry_space_group_name_H-M 'F -4 3 m'
_symmetry_Int_Tables_number 216
_symmetry_space_group_name_Hall 'F -4 2 3'
_cell_length_a 6.927
_cell_length_b 6.927
_cell_length_c 6.927
_cell_angle_alpha 90.00
_cell_angle_beta 90.00
_cell_angle_gamma 90.00
loop_
_atom_site_label
_atom_site_fract_x
_atom_site_fract_y
_atom_site_fract_z
_atom_site_occupancy
Sm1 0.000 0.000 0.000 1
Pu1 0.000 0.000 0.500 1
Cu1 0.250 0.250 0.750 1
Tc1 0.250 0.250 0.250 1
# crystal system: cubic
# E: -8.27 eV per atom
# mass density: 11.11 Mg/m³
# energy of formation: 0.11 eV per atom

# 6
# PBE SmPuTlCu, optimized geometry
data_SmPuTlCu
_symmetry_space_group_name_H-M 'F -4 3 m'
_symmetry_Int_Tables_number 216
_symmetry_space_group_name_Hall 'F -4 2 3'
_cell_length_a 7.435
_cell_length_b 7.435
_cell_length_c 7.435
_cell_angle_alpha 90.00
_cell_angle_beta 90.00
_cell_angle_gamma 90.00
loop_
_atom_site_label
_atom_site_fract_x
_atom_site_fract_y
_atom_site_fract_z
_atom_site_occupancy
Sm1 0.000 0.000 0.000 1
Pu1 0.000 0.000 0.500 1
Tl1 0.250 0.250 0.750 1
Cu1 0.250 0.250 0.250 1
# crystal system: cubic
# E: -6.38 eV per atom
# mass density: 10.70 Mg/m³
# energy of formation: 0.00 eV per atom

# 7
# PBE SmPuZnCu, optimized geometry
data_SmPuZnCu
_symmetry_space_group_name_H-M 'F -4 3 m'
_symmetry_Int_Tables_number 216
_symmetry_space_group_name_Hall 'F -4 2 3'
_cell_length_a 7.133
_cell_length_b 7.133
_cell_length_c 7.133
_cell_angle_alpha 90.00
_cell_angle_beta 90.00
_cell_angle_gamma 90.00
loop_
_atom_site_label
_atom_site_fract_x
_atom_site_fract_y
_atom_site_fract_z
_atom_site_occupancy
Sm1 0.000 0.000 0.000 1
Pu1 0.000 0.000 0.500 1
Zn1 0.250 0.250 0.750 1
Cu1 0.250 0.250 0.250 1
# crystal system: cubic
# E: -6.16 eV per atom
# mass density: 9.58 Mg/m³
# energy of formation: -0.05 eV per atom

# 8
# PBE PuCu3Sn2, optimized geometry
data_PuCu3Sn2
_symmetry_space_group_name_H-M 'F m m m'
_symmetry_Int_Tables_number 69
_symmetry_space_group_name_Hall '-F 2 2'
_cell_length_a 6.458
_cell_length_b 9.893
_cell_length_c 15.150
_cell_angle_alpha 90.00
_cell_angle_beta 90.00
_cell_angle_gamma 90.00
loop_
_atom_site_label
_atom_site_fract_x
_atom_site_fract_y
_atom_site_fract_z
_atom_site_occupancy
Pu1 0.000 0.000 0.167 1
Cu1 0.000 0.000 0.350 1
Cu2 0.000 0.225 0.417 1
Sn1 0.231 0.000 0.500 1
Sn2 0.250 0.250 0.250 1
# crystal system: orthorhombic
# E: -5.58 eV per atom
# mass density: 9.22 Mg/m³
# energy of formation: 0.19 eV per atom

# 9
# PBE PuCuSn2, optimized geometry
data_PuCuSn2
_symmetry_space_group_name_H-M 'P 4/m m m'
_symmetry_Int_Tables_number 123
_symmetry_space_group_name_Hall '-P 4 2'
_cell_length_a 4.540
_cell_length_b 4.540
_cell_length_c 4.390
_cell_angle_alpha 90.00
_cell_angle_beta 90.00
_cell_angle_gamma 90.00
loop_
_atom_site_label
_atom_site_fract_x
_atom_site_fract_y
_atom_site_fract_z
_atom_site_occupancy
Pu1 0.000 0.000 0.000 1
Cu1 0.500 0.500 0.000 1
Sn1 0.000 0.500 0.500 1
# crystal system: tetragonal
# E: -6.77 eV per atom
# mass density: 10.00 Mg/m³
# energy of formation: -0.17 eV per atom

# 10
# PBE PuCuSn2, optimized geometry
data_PuCuSn2
_symmetry_space_group_name_H-M 'P 4/m m m'
_symmetry_Int_Tables_number 123
_symmetry_space_group_name_Hall '-P 4 2'
_cell_length_a 3.501
_cell_length_b 3.501
_cell_length_c 7.300
_cell_angle_alpha 90.00
_cell_angle_beta 90.00
_cell_angle_gamma 90.00
loop_
_atom_site_label
_atom_site_fract_x
_atom_site_fract_y
_atom_site_fract_z
_atom_site_occupancy
Pu1 0.000 0.000 0.000 1
Cu1 0.000 0.000 0.500 1
Sn1 0.500 0.500 0.296 1
# crystal system: tetragonal
# E: -6.71 eV per atom
# mass density: 10.11 Mg/m³
# energy of formation: -0.10 eV per atom

# 11
# PBE PuCuSn, optimized geometry
data_PuCuSn
_symmetry_space_group_name_H-M 'R -3 m'
_symmetry_Int_Tables_number 166
_symmetry_space_group_name_Hall '-R 3 2"'
_cell_length_a 4.6620
_cell_length_b 4.6620
_cell_length_c 22.1906
_cell_angle_alpha 90.00
_cell_angle_beta 90.00
_cell_angle_gamma 120.00
loop_
_atom_site_label
_atom_site_fract_x
_atom_site_fract_y
_atom_site_fract_z
_atom_site_occupancy
Pu1 0.0000 0.0000 0.2388 1
Cu1 0.0000 0.0000 0.3721 1
Sn1 0.0000 0.0000 0.0000 1
Sn2 0.0000 0.0000 0.5000 1
# crystal system: trigonal
# E: -7.58 eV per atom
# mass density: 10.17 Mg/m³
# energy of formation: -0.10 eV per atom

# 12
# PBE PuCuSn, optimized geometry
data_PuCuSn
_symmetry_space_group_name_H-M 'I 4 m m'
_symmetry_Int_Tables_number 107
_symmetry_space_group_name_Hall 'I 4 -2'
_cell_length_a 3.272
_cell_length_b 3.272
_cell_length_c 11.929
_cell_angle_alpha 90.00
_cell_angle_beta 90.00
_cell_angle_gamma 90.00
loop_
_atom_site_label
_atom_site_fract_x
_atom_site_fract_y
_atom_site_fract_z
_atom_site_occupancy
Pu1 0.000 0.000 0.000 1
Cu1 0.000 0.000 0.336 1
Sn1 0.000 0.000 0.703 1
# crystal system: tetragonal
# E: -7.53 eV per atom
# mass density: 11.08 Mg/m³
# energy of formation: -0.05 eV per atom